Record 1
# Be3BPb, optimized geometry, DFT PBE
# * spin magnetization: 0.00 Bohr magnetons per cell
# * polymorph energy (0 for the lowest one): 0.0000 eV/atom
data_Be3BPb
_chemical_formula_sum 'Be3 B1 Pb1'
_symmetry_space_group_name_H-M 'P m -3 m'
_symmetry_Int_Tables_number 221
_symmetry_space_group_name_Hall '-P 4 2 3'
_cell_length_a 3.974
_cell_length_b 3.974
_cell_length_c 3.974
_cell_angle_alpha 90.00
_cell_angle_beta 90.00
_cell_angle_gamma 90.00
loop_
_atom_site_label
_atom_site_type_symbol
_atom_site_fract_x
_atom_site_fract_y
_atom_site_fract_z
_atom_site_occupancy
Be1 Be 0.000 0.000 0.500 1
B1 B 0.000 0.000 0.000 1
Pb1 Pb 0.500 0.500 0.500 1


Record 2
# MnPSe2Br, optimized geometry, DFT PBE
# * spin magnetization: 0.00 Bohr magnetons per cell
# * polymorph energy (0 for the lowest one): 0.2202 eV/atom
# * formation energy from raw total energies: 0.672 eV/atom
data_MnPSe2Br
_chemical_formula_sum 'Mn1 P1 Se2 Br1'
_symmetry_space_group_name_H-M 'P 4/m m m'
_symmetry_Int_Tables_number 123
_symmetry_space_group_name_Hall '-P 4 2'
_cell_length_a 4.595
_cell_length_b 4.595
_cell_length_c 4.966
_cell_angle_alpha 90.00
_cell_angle_beta 90.00
_cell_angle_gamma 90.00
loop_
_atom_site_label
_atom_site_type_symbol
_atom_site_fract_x
_atom_site_fract_y
_atom_site_fract_z
_atom_site_occupancy
Mn1 Mn 0.000 0.000 0.000 1
P1 P 0.500 0.500 0.500 1
Se1 Se 0.000 0.500 0.000 1
Br1 Br 0.000 0.000 0.500 1


Record 3
# Sr2CaSnRh, optimized geometry, DFT PBE
# * spin magnetization: 0.00 Bohr magnetons per cell
# * total energy: -18.2 eV per formula unit
data_Sr2CaSnRh
_chemical_formula_sum 'Sr2 Ca1 Sn1 Rh1'
_symmetry_space_group_name_H-M 'P 4/m m m'
_symmetry_Int_Tables_number 123
_symmetry_space_group_name_Hall '-P 4 2'
_cell_length_a 5.800
_cell_length_b 5.800
_cell_length_c 5.210
_cell_angle_alpha 90.00
_cell_angle_beta 90.00
_cell_angle_gamma 90.00
loop_
_atom_site_label
_atom_site_type_symbol
_atom_site_fract_x
_atom_site_fract_y
_atom_site_fract_z
_atom_site_occupancy
Sr1 Sr 0.000 0.500 0.000 1
Ca1 Ca 0.000 0.000 0.500 1
Sn1 Sn 0.500 0.500 0.500 1
Rh1 Rh 0.500 0.500 0.000 1


Record 4
# Na4Tl7Ag, optimized geometry, DFT PBE
# * spin magnetization: 0.00 Bohr magnetons per cell
# * total energy: -25.2 eV per formula unit
data_Na4Tl7Ag
_chemical_formula_sum 'Na4 Tl7 Ag1'
_symmetry_space_group_name_H-M 'P -1'
_symmetry_Int_Tables_number 2
_cell_length_a 5.566
_cell_length_b 6.891
_cell_length_c 9.482
_cell_angle_alpha 111.29
_cell_angle_beta 91.05
_cell_angle_gamma 91.16
loop_
_symmetry_equiv_pos_as_xyz
'x,y,z'
'-x,-y,-z'
loop_
_atom_site_label
_atom_site_type_symbol
_atom_site_fract_x
_atom_site_fract_y
_atom_site_fract_z
_atom_site_occupancy
Na1 Na 0.230 0.393 0.265 1
Na2 Na 0.240 0.873 0.268 1
Tl1 Tl 0.246 0.407 0.923 1
Tl2 Tl 0.250 0.829 0.638 1
Tl3 Tl 0.263 0.307 0.575 1
Tl4 Tl 0.500 0.000 0.000 1
Ag1 Ag 0.000 0.000 0.000 1


Record 5
# Hg5H, optimized geometry, DFT PBE
# * spin magnetization: 0.00 Bohr magnetons per cell
# * polymorph energy (0 for the lowest one): 0.0000 eV/atom
data_Hg5H
_chemical_formula_sum 'Hg10 H2'
_symmetry_space_group_name_H-M 'C 1 m 1'
_symmetry_Int_Tables_number 8
_cell_length_a 9.753
_cell_length_b 5.628
_cell_length_c 5.604
_cell_angle_alpha 90.00
_cell_angle_beta 90.17
_cell_angle_gamma 90.00
loop_
_symmetry_equiv_pos_as_xyz
'x,y,z'
'x,-y,z'
'x+1/2,y+1/2,z'
'x+1/2,-y+1/2,z'
loop_
_atom_site_label
_atom_site_type_symbol
_atom_site_fract_x
_atom_site_fract_y
_atom_site_fract_z
_atom_site_occupancy
Hg1 Hg 0.000 0.000 0.000 1
Hg2 Hg 0.056 0.500 0.502 1
Hg3 Hg 0.183 0.500 0.002 1
Hg4 Hg 0.259 0.000 0.501 1
Hg5 Hg 0.350 0.000 0.001 1
H1 H 0.080 0.000 0.504 1


Record 6
# PuScPa, optimized geometry, DFT PBE
# * spin magnetization: 31.43 Bohr magnetons per cell
# * polymorph energy (0 for the lowest one): 0.0523 eV/atom
data_PuScPa
_chemical_formula_sum 'Pu6 Sc6 Pa6'
_symmetry_space_group_name_H-M 'R -3 m'
_symmetry_Int_Tables_number 166
_symmetry_space_group_name_Hall '-R 3 2"'
_cell_length_a 3.2611
_cell_length_b 3.2611
_cell_length_c 48.0312
_cell_angle_alpha 90.00
_cell_angle_beta 90.00
_cell_angle_gamma 120.00
loop_
_atom_site_label
_atom_site_type_symbol
_atom_site_fract_x
_atom_site_fract_y
_atom_site_fract_z
_atom_site_occupancy
Pu1 Pu 0.0000 0.0000 0.2493 1
Sc1 Sc 0.0000 0.0000 0.1396 1
Pa1 Pa 0.0000 0.0000 0.3624 1


Record 7
# Na2Be3InAu12, optimized geometry, DFT PBE
# * spin magnetization: 0.00 Bohr magnetons per cell
# * total energy: -56.2 eV per formula unit
data_Na2Be3InAu12
_chemical_formula_sum 'Na6 Be9 In3 Au36'
_symmetry_space_group_name_H-M 'R -3 m'
_symmetry_Int_Tables_number 166
_symmetry_space_group_name_Hall '-R 3 2"'
_cell_length_a 8.3631
_cell_length_b 8.3631
_cell_length_c 18.2244
_cell_angle_alpha 90.00
_cell_angle_beta 90.00
_cell_angle_gamma 120.00
loop_
_atom_site_label
_atom_site_type_symbol
_atom_site_fract_x
_atom_site_fract_y
_atom_site_fract_z
_atom_site_occupancy
Na1 Na 0.0000 0.0000 0.0936 1
Be1 Be 0.0000 0.5000 0.0000 1
In1 In 0.0000 0.0000 0.5000 1
Au1 Au 0.0279 0.5140 0.8732 1
Au2 Au 0.0357 0.5179 0.3619 1


Record 8
# LiSmAg4, optimized geometry, DFT PBE
# * spin magnetization: 0.00 Bohr magnetons per cell
# * polymorph energy (0 for the lowest one): 0.0000 eV/atom
data_LiSmAg4
_chemical_formula_sum 'Li1 Sm1 Ag4'
_symmetry_space_group_name_H-M 'P -1'
_symmetry_Int_Tables_number 2
_cell_length_a 3.765
_cell_length_b 5.155
_cell_length_c 7.104
_cell_angle_alpha 107.36
_cell_angle_beta 90.09
_cell_angle_gamma 111.27
loop_
_symmetry_equiv_pos_as_xyz
'x,y,z'
'-x,-y,-z'
loop_
_atom_site_label
_atom_site_type_symbol
_atom_site_fract_x
_atom_site_fract_y
_atom_site_fract_z
_atom_site_occupancy
Li1 Li 0.000 0.000 0.000 1
Sm1 Sm 0.000 0.000 0.500 1
Ag1 Ag 0.338 0.678 0.142 1
Ag2 Ag 0.339 0.676 0.713 1